Entry 1:
First-principles (PBE) data for an optimized crystal structure of PuThCd17, as listed in Alexandria.

The space group is R3m (No. 160, hexagonal axes) and the conventional cell measures 10.0948, 10.0948 and 15.0455 Å, with angles of 90.00, 90.00 and 120.00 degrees. The inequivalent atoms are Pu at (0.0000, 0.0000, 0.0000), Th at (0.0000, 0.0000, 0.3371), Cd at (0.0000, 0.0000, 0.5633), Cd at (0.0000, 0.0000, 0.7605), Cd at (0.0316, 0.3641, 0.3334), Cd at (0.1741, 0.3483, 0.1453), Cd at (0.1802, 0.3603, 0.5052) and Cd at (0.1902, 0.3804, 0.8476).

Entry 2:
First-principles (PBE) data for an optimized crystal structure of PuTh2Cd, as listed in Alexandria.

The value obtained for the energy above the most stable polymorph in this dataset is 0.084 eV/atom.

The space group is Fm-3m (No. 225) and the conventional cell measures 7.656, 7.656 and 7.656 Å, with angles of 90.00, 90.00 and 90.00 degrees. The inequivalent atoms are Pu at (0.000, 0.000, 0.000), Th at (0.250, 0.250, 0.250) and Cd at (0.000, 0.000, 0.500).

Entry 3:
First-principles (PBE) data for an optimized crystal structure of PuTh2Cd, as listed in Alexandria.

The value obtained for the energy above the most stable polymorph in this dataset is 0.130 eV/atom.

The space group is R3m (No. 160, hexagonal axes) and the conventional cell measures 3.4772, 3.4772 and 33.6406 Å, with angles of 90.00, 90.00 and 120.00 degrees. The inequivalent atoms are Pu at (0.0000, 0.0000, 0.0000), Th at (0.0000, 0.0000, 0.4175), Th at (0.0000, 0.0000, 0.5827) and Cd at (0.0000, 0.0000, 0.1668).

Entry 4:
First-principles (PBE) data for an optimized crystal structure of PuThTlCd, as listed in Alexandria.

The space group is F-43m (No. 216) and the conventional cell measures 7.698, 7.698 and 7.698 Å, with angles of 90.00, 90.00 and 90.00 degrees. The inequivalent atoms are Pu at (0.000, 0.000, 0.000), Th at (0.000, 0.000, 0.500), Tl at (0.250, 0.250, 0.750) and Cd at (0.250, 0.250, 0.250).

| no. | density of states at the Fermi level (states/eV per cell) | DFT formation energy (meV per atom) | total magnetization (μB/f.u.) |
| --- | --- | --- | --- |
| 1 | 63.02 | -54 | 5.87 |
| 2 | 55.32 | 70 | 7.30 |
| 3 | 30.33 | 116 | 5.47 |
| 4 | 40.63 | 1 | 6.89 |